DFT (PBE) results for a geometry-optimized Dy3YGa4 structure.

Values from the calculation:
magnetic moment: 0.0 μB per cell
space group: No. 166
calculated formation energy: -586 meV/atom
calculated volume: 22.78 A^3/atom

Cell: 5.0465 5.0465 8.7624 Å, 73.26 73.26 60.00°
With the nearest neighbours (Å) after each atom.
Element x y z (fractional)
Y  0.0000  0.0000  0.0000  8 Ga 3.09-3.10
Ga  0.8748  0.8748  0.3755  7 Dy 3.09, 1 Y 3.10
Ga  0.3751  0.3751  0.8746  5 Dy 3.09-3.10, 3 Y 3.09
Ga  0.1252  0.1252  0.6245  7 Dy 3.09, 1 Y 3.10
Ga  0.6249  0.6249  0.1254  5 Dy 3.09-3.10, 3 Y 3.09
Dy  0.2500  0.2500  0.2501  8 Ga 3.09-3.10
Dy  0.7500  0.7500  0.7499  8 Ga 3.09-3.10
Dy  0.5000  0.5000  0.5000  8 Ga 3.09-3.10

DFT (PBE) results for a geometry-optimized Cu2PdO3 structure.

Values from the calculation:
magnetic moment: 2.3 μB per cell
formation energy without anion corrections: -0.0428 eV/atom
space group: No. 63
calculated volume: 11.57 A^3/atom

Cell: 5.1890 5.3421 5.3421 Å, 110.39 90.00 90.00°
With the nearest neighbours (Å) after each atom.
Element x y z (fractional)
Cu  0.0000  0.2276  0.2276  4 O 1.88-2.07
Cu  0.5000  0.2276  0.2276  4 O 1.88-2.07
Cu  0.0000  0.7724  0.7724  4 O 1.88-2.07
Cu  0.5000  0.7724  0.7724  4 O 1.88-2.07
Pd  0.2500  0.3102  0.6898  2 O 2.06
Pd  0.7500  0.6898  0.3102  2 O 2.06
O  0.7500  0.0929  0.9071  4 Cu 2.07
O  0.7500  0.0977  0.4049  2 Cu 1.88, 1 Pd 2.06
O  0.2500  0.4049  0.0977  2 Cu 1.88, 1 Pd 2.06
O  0.7500  0.5951  0.9023  2 Cu 1.88, 1 Pd 2.06
O  0.2500  0.9023  0.5951  2 Cu 1.88, 1 Pd 2.06
O  0.2500  0.9071  0.0929  4 Cu 2.07

DFT (PBE) results for a geometry-optimized KNiAs2 structure.

Values from the calculation:
magnetic moment: 0.0 μB per cell
space group: No. 123
calculated formation energy: 448 meV/atom
excess energy over the best structure of this formula in the dataset: 763 meV per atom
calculated volume: 19.68 A^3/atom

Cell: 4.2400 4.2396 4.3796 Å, 90.00 90.00 90.00°
With the nearest neighbours (Å) after each atom.
Element x y z (fractional)
As  0.0000  0.0000  0.0000  4 As 3.00, 4 Ni 3.05, 4 K 3.05
As  0.5000  0.5000  0.0000  4 As 3.00, 4 K 3.05, 4 Ni 3.05
K  0.5000  0.0000  0.5000  4 Ni 3.00, 8 As 3.05
Ni  0.0000  0.5000  0.5000  4 K 3.00, 8 As 3.05

DFT (PBE) results for a geometry-optimized Ac3Ce2NdN6 structure.

Values from the calculation:
magnetic moment: 0.0 μB per cell
formation energy without anion corrections: -1.2481 eV/atom
space group: No. 12
calculated volume: 18.48 A^3/atom

Cell: 6.4442 6.4442 6.5274 Å, 99.49 99.49 119.96°
With the nearest neighbours (Å) after each atom.
Element x y z (fractional)
Ac  0.1659  0.8341  0.5000  6 N 2.69-2.80
Ac  0.8341  0.1659  0.5000  6 N 2.69-2.80
Ac  0.5000  0.5000  0.5000  6 N 2.70-2.78
Ce  0.3336  0.6664  0.0000  6 N 2.49-2.52
Ce  0.6664  0.3336  0.0000  6 N 2.49-2.52
Nd  0.0000  0.0000  0.0000  6 N 2.61-2.62
N  0.9261  0.5797  0.7774  2 Ce 2.52, 1 Nd 2.62, 3 Ac 2.69-2.78
N  0.7252  0.7252  0.2172  2 Ce 2.49, 1 Nd 2.61, 1 Ac 2.70
N  0.0739  0.4203  0.2226  2 Ce 2.52, 1 Nd 2.62, 3 Ac 2.69-2.78
N  0.5797  0.9261  0.7774  2 Ce 2.52, 1 Nd 2.62, 3 Ac 2.69-2.78
N  0.2748  0.2748  0.7828  2 Ce 2.49, 1 Nd 2.61, 1 Ac 2.70
N  0.4203  0.0739  0.2226  2 Ce 2.52, 1 Nd 2.62, 3 Ac 2.69-2.78

DFT (PBE) results for a geometry-optimized TbSm8Dy3 structure.

Values from the calculation:
magnetic moment: 0.0 μB per cell
space group: No. 12
calculated formation energy: 121 meV/atom
calculated volume: 33.14 A^3/atom

Cell: 11.9749 12.6449 9.7564 Å, 147.00 90.00 118.26°
With the nearest neighbours (Å) after each atom.
Element x y z (fractional)
Tb  0.0000  0.0000  0.0000  8 Sm 3.50-3.75, 2 Dy 3.51
Sm  0.3224  0.6449  0.9798  3 Dy 3.49-3.77, 1 Tb 3.50, 6 Sm 3.50-3.62
Sm  0.6776  0.3551  0.0202  3 Dy 3.49-3.77, 1 Tb 3.50, 6 Sm 3.50-3.62
Sm  0.3229  0.1439  0.9775  3 Dy 3.48-3.76, 6 Sm 3.51-3.63, 1 Tb 3.51
Sm  0.8209  0.1439  0.9775  3 Dy 3.48-3.76, 6 Sm 3.51-3.63, 1 Tb 3.51
Sm  0.8225  0.6451  0.9779  3 Dy 3.48-3.50, 6 Sm 3.50-3.62, 1 Tb 3.75
Sm  0.1775  0.3549  0.0221  3 Dy 3.48-3.50, 6 Sm 3.50-3.62, 1 Tb 3.75
Sm  0.1791  0.8561  0.0225  3 Dy 3.48-3.76, 6 Sm 3.51-3.63, 1 Tb 3.51
Sm  0.6771  0.8561  0.0225  3 Dy 3.48-3.76, 6 Sm 3.51-3.63, 1 Tb 3.51
Dy  0.5000  0.0000  0.0000  8 Sm 3.48-3.77, 2 Tb 3.51
Dy  0.5000  0.5000  0.0000  8 Sm 3.48-3.76, 2 Dy 3.51
Dy  0.0000  0.5000  0.0000  8 Sm 3.48-3.76, 2 Dy 3.51

DFT (PBE) results for a geometry-optimized Pr3ZnGe6Pt2 structure.

Values from the calculation:
magnetic moment: 0.0 μB per cell
space group: No. 164
calculated formation energy: -396 meV/atom
calculated volume: 21.81 A^3/atom

Cell: 6.0109 6.0109 8.3640 Å, 90.00 90.00 120.00°
With the nearest neighbours (Å) after each atom.
Element x y z (fractional)
Pr  0.3333  0.6667  0.6339  9 Ge 3.10-3.31, 1 Pt 3.27
Pr  0.6667  0.3333  0.3661  9 Ge 3.10-3.31, 1 Pt 3.27
Pr  0.0000  0.0000  0.0000  6 Ge 3.07
Zn  0.0000  0.0000  0.5000  6 Ge 2.69
Ge  0.6217  0.8108  0.2810  2 Ge 2.60, 1 Pt 2.62, 1 Zn 2.69
Ge  0.1892  0.3783  0.2810  2 Ge 2.60, 1 Pt 2.62, 1 Zn 2.69
Ge  0.1892  0.8108  0.2810  2 Ge 2.60, 1 Pt 2.62, 1 Zn 2.69
Ge  0.8108  0.6217  0.7190  2 Ge 2.60, 1 Pt 2.62, 1 Zn 2.69
Ge  0.3783  0.1892  0.7190  2 Ge 2.60, 1 Pt 2.62, 1 Zn 2.69
Ge  0.8108  0.1892  0.7190  2 Ge 2.60, 1 Pt 2.62, 1 Zn 2.69
Pt  0.6667  0.3333  0.9751  3 Ge 2.62
Pt  0.3333  0.6667  0.0249  3 Ge 2.62